Record 1
Rb2Hg6PdAu, relaxed, DFT PBE-GGA; total energy = -1.4430 eV per atom; formation enthalpy at 0 K = -0.221 eV per atom
1.0
-5.435 1.194 -5.470
-3.225 -6.820 1.715
-6.305 4.822 7.319
Rb Hg Pd Au
4 12 2 2
Direct
0.500 0.747 0.252 Rb
0.000 0.253 0.752 Rb
0.500 0.747 0.748 Rb
0.000 0.253 0.248 Rb
0.500 0.244 0.253 Hg
0.500 0.244 0.747 Hg
0.000 0.756 0.247 Hg
0.000 0.756 0.753 Hg
0.231 0.961 0.500 Hg
0.769 0.961 0.500 Hg
0.273 0.449 0.500 Hg
0.727 0.449 0.500 Hg
0.773 0.551 0.000 Hg
0.227 0.551 0.000 Hg
0.269 0.039 0.000 Hg
0.731 0.039 0.000 Hg
0.500 0.182 0.500 Pd
0.000 0.818 0.000 Pd
0.000 0.679 0.500 Au
0.500 0.321 0.000 Au

Record 2
CsTcSe2N, relaxed, DFT PBE-GGA; total energy = -5.2691 eV per atom; uncorrected formation energy = 0.034 eV per atom
1.0
5.392 0.000 0.000
0.000 5.392 0.000
0.000 0.000 3.822
Cs Tc Se N
1 1 2 1
Direct
0.500 0.500 0.500 Cs
0.000 0.000 0.000 Tc
0.000 0.500 0.000 Se
0.500 0.000 0.000 Se
0.000 0.000 0.500 N